## Cs2KNaCd (GGA-PBE)

Data for crystalline Cs2KNaCd at its relaxed geometry.

a b c (Å): 7.466 7.466 6.923
angles (deg): 90.00 90.00 90.00
Fractional coordinates of all 5 atoms:
Cs 0.000 0.500 0.000
Cs 0.500 0.000 0.000
Cd 0.000 0.000 0.000
Na 0.500 0.500 0.500
K 0.000 0.000 0.500

Output
Space-group type: P4/mmm (123)
DFT formation energy (eV per formula unit): 0.45
V (Å³/atom): 77.184

***

## SmAl3Ni (GGA-PBE)

Data for crystalline SmAl3Ni at its relaxed geometry.

a b c (Å): 4.097 8.225 10.732
angles (deg): 90.00 90.00 90.00
Fractional coordinates of all 20 atoms:
Al 0.750 0.119 0.784
Al 0.250 0.359 0.723
Al 0.250 0.859 0.777
Al 0.750 0.141 0.223
Al 0.250 0.555 0.918
Al 0.250 0.881 0.216
Al 0.750 0.641 0.277
Al 0.250 0.381 0.284
Al 0.750 0.619 0.716
Al 0.750 0.445 0.082
Al 0.750 0.945 0.418
Al 0.250 0.055 0.582
Sm 0.750 0.816 0.990
Sm 0.250 0.184 0.010
Sm 0.250 0.684 0.490
Sm 0.750 0.316 0.510
Ni 0.750 0.898 0.645
Ni 0.750 0.398 0.855
Ni 0.250 0.102 0.355
Ni 0.250 0.602 0.145

Output
Space-group type: Pnma (62)
DFT formation energy (eV per formula unit): -2.94
V (Å³/atom): 18.081

***

## Ho9TmSc2 (GGA-PBE)

Data for crystalline Ho9TmSc2 at its relaxed geometry.

a b c (Å): 3.436 10.971 10.971
angles (deg): 120.00 90.00 90.00
Fractional coordinates of all 12 atoms:
Ho 0.500 0.822 0.643
Ho 0.000 0.500 0.000
Ho 0.000 0.500 0.500
Ho 0.500 0.357 0.178
Ho 0.500 0.822 0.178
Ho 0.500 0.178 0.822
Ho 0.500 0.178 0.357
Ho 0.000 0.000 0.500
Ho 0.500 0.643 0.822
Sc 0.000 0.667 0.333
Sc 0.000 0.333 0.667
Tm 0.000 0.000 0.000

Output
Space-group type: P6/mmm (191)
DFT formation energy (eV per formula unit): 0.61
V (Å³/atom): 29.845